Entry 1:
A plane-wave DFT calculation with PBE was carried out for Hf2ThPa after structural relaxation.

The formation energy is 0.78 eV per formula unit.

The structure belongs to space group P4/mmm (No. 123); the cell edges are 4.587, 4.587 and 4.871 Å and the angles 90.00°, 90.00° and 90.00°. The asymmetric unit holds Hf at (0.000, 0.500, 0.000), Th at (0.000, 0.000, 0.500) and Pa at (0.500, 0.500, 0.500).

---

Entry 2:
A plane-wave DFT calculation with PBE was carried out for PmSn3H after structural relaxation.

The structure belongs to space group Pm-3m (No. 221); the cell edges are 4.799, 4.799 and 4.799 Å and the angles 90.00°, 90.00° and 90.00°. The asymmetric unit holds Pm at (0.000, 0.000, 0.000), Sn at (0.000, 0.500, 0.500) and H at (0.500, 0.500, 0.500).

---

The total DFT energy (no corrections) results, record by record, are as follows: -9.010; -4.250 eV/atom.